Density functional theory data (GGA-PBE) for La6Ge2TeSe3 after structural relaxation.

Structure (POSCAR):
```
La6Ge2TeSe3
1.0
9.5877 -2.2065 0.0000
9.5877 2.2065 0.0000
-1.9348 0.0000 8.6229
La Ge Te Se
6 2 1 3
Direct
0.0044 0.0044 0.2657
0.3281 0.3281 0.9035
0.3310 0.3310 0.4215
0.6690 0.6690 0.5785
0.6719 0.6719 0.0965
0.9956 0.9956 0.7343
0.1661 0.1661 0.3319
0.8339 0.8339 0.6681
0.5000 0.5000 0.0000
0.1639 0.1639 0.8344
0.5000 0.5000 0.5000
0.8361 0.8361 0.1656
```

Results
ΔE_f (raw) = -1.593 eV per atom
Density = 6.1 Mg/m³



Density functional theory data (GGA-PBE) for La4GeTeSe2 after structural relaxation.

Structure (POSCAR):
```
La4GeTeSe2
1.0
7.5982 0.0000 0.0000
0.0000 4.4190 0.0000
-2.5720 0.0000 7.2913
La Ge Te Se
4 1 1 2
Direct
0.2421 0.0000 0.2321
0.2519 0.5000 0.7633
0.7481 0.5000 0.2367
0.7579 0.0000 0.7679
0.5000 0.0000 0.0000
0.5000 0.5000 0.5000
0.0000 0.0000 0.5000
0.0000 0.5000 0.0000
```

Results
ΔE_f (raw) = -1.650 eV per atom
Density = 6.2 Mg/m³



Density functional theory data (GGA-PBE) for LaThGeSe after structural relaxation.

Structure (POSCAR):
```
LaThGeSe
1.0
2.1684 1.2519 7.0296
-2.1684 1.2519 7.0296
0.0000 -2.5038 7.0296
La Th Ge Se
1 1 1 1
Direct
0.0000 0.0000 0.0000
0.4935 0.4935 0.4935
0.7499 0.7499 0.7499
0.2442 0.2442 0.2442
```

Results
ΔE_f (raw) = -1.350 eV per atom
Density = 7.6 Mg/m³



Density functional theory data (GGA-PBE) for LaTl2GeSe4 after structural relaxation.

Structure (POSCAR):
```
LaTl2GeSe4
1.0
-4.3177 4.3799 6.1486
4.3177 -4.3799 6.1486
4.3177 4.3799 -6.1486
La Tl Ge Se
2 4 2 8
Direct
0.0000 0.0000 0.0000
0.5000 0.0000 0.5000
0.0000 0.5000 0.5000
0.5000 0.0000 0.0000
0.5000 0.5000 0.0000
0.5000 0.5000 0.5000
0.0000 0.0000 0.5000
0.0000 0.5000 0.0000
0.2117 0.2434 0.9683
0.2249 0.7566 0.4683
0.2321 0.2165 0.4844
0.2321 0.7477 0.0156
0.7679 0.2523 0.9844
0.7679 0.7835 0.5156
0.7751 0.2434 0.5317
0.7883 0.7566 0.0317
```

Results
ΔE_f (raw) = -0.789 eV per atom
Density = 6.7 Mg/m³



Density functional theory data (GGA-PBE) for La3Tl3GeSe8 after structural relaxation.

Structure (POSCAR):
```
La3Tl3GeSe8
1.0
4.3101 2.4885 7.7588
-4.3101 2.4885 7.7588
0.0000 -4.9769 7.7588
La Tl Ge Se
3 3 1 8
Direct
0.0000 0.5000 0.5000
0.5000 0.0000 0.5000
0.5000 0.5000 0.0000
0.0000 0.0000 0.5000
0.0000 0.5000 0.0000
0.5000 0.0000 0.0000
0.0000 0.0000 0.0000
0.2130 0.2130 0.7690
0.2130 0.7690 0.2130
0.2310 0.7870 0.7870
0.2620 0.2620 0.2620
0.7380 0.7380 0.7380
0.7690 0.2130 0.2130
0.7870 0.2310 0.7870
0.7870 0.7870 0.2310
```

Results
ΔE_f (raw) = -1.114 eV per atom
Density = 5.8 Mg/m³



Density functional theory data (GGA-PBE) for La3Tl4GeSe8 after structural relaxation.

Structure (POSCAR):
```
La3Tl4GeSe8
1.0
4.3653 2.5203 7.5161
-4.3653 2.5203 7.5161
0.0000 -5.0406 7.5161
La Tl Ge Se
3 4 1 8
Direct
0.0000 0.5000 0.5000
0.5000 0.0000 0.5000
0.5000 0.5000 0.0000
0.0000 0.0000 0.5000
0.0000 0.5000 0.0000
0.5000 0.0000 0.0000
0.5000 0.5000 0.5000
0.0000 0.0000 0.0000
0.2304 0.2304 0.7493
0.2304 0.7493 0.2304
0.2507 0.7696 0.7696
0.2608 0.2608 0.2608
0.7392 0.7392 0.7392
0.7493 0.2304 0.2304
0.7696 0.2507 0.7696
0.7696 0.7696 0.2507
```

Results
ΔE_f (raw) = -1.118 eV per atom
Density = 6.5 Mg/m³



Density functional theory data (GGA-PBE) for LaTlGeSe2 after structural relaxation.

Structure (POSCAR):
```
LaTlGeSe2
1.0
5.7662 0.0000 0.0000
0.0000 5.7662 0.0000
0.0000 0.0000 5.8322
La Tl Ge Se
1 1 1 2
Direct
0.0000 0.0000 0.0000
0.5000 0.5000 0.5000
0.0000 0.0000 0.5000
0.0000 0.5000 0.0000
0.5000 0.0000 0.0000
```

Results
ΔE_f (raw) = -0.228 eV per atom
Density = 4.9 Mg/m³



Density functional theory data (GGA-PBE) for LaTlGeSe4 after structural relaxation.

Structure (POSCAR):
```
LaTlGeSe4
1.0
7.2155 0.0000 0.0000
0.0000 19.7993 0.0000
0.0000 0.0000 11.5503
La Tl Ge Se
8 8 8 32
Direct
0.2275 0.0651 0.1072
0.2275 0.4349 0.6072
0.2725 0.5651 0.1072
0.2725 0.9349 0.6072
0.7275 0.0651 0.3928
0.7275 0.4349 0.8928
0.7725 0.5651 0.3928
0.7725 0.9349 0.8928
0.1685 0.1984 0.7534
0.1685 0.3016 0.2534
0.3315 0.6984 0.7534
0.3315 0.8016 0.2534
0.6685 0.1984 0.7466
0.6685 0.3016 0.2466
0.8315 0.6984 0.7466
0.8315 0.8016 0.2466
0.2172 0.1113 0.4448
0.2172 0.3887 0.9448
0.2828 0.6113 0.4448
0.2828 0.8887 0.9448
0.7172 0.1113 0.0552
0.7172 0.3887 0.5552
0.7828 0.6113 0.0552
0.7828 0.8887 0.5552
0.0357 0.6795 0.9962
0.0357 0.8205 0.4962
0.0699 0.5821 0.5953
0.0699 0.9179 0.0953
0.0932 0.6580 0.2960
0.0932 0.8420 0.7960
0.1226 0.0058 0.3588
0.1226 0.4942 0.8588
0.3774 0.5058 0.3588
0.3774 0.9942 0.8588
0.4068 0.1580 0.2960
0.4068 0.3420 0.7960
0.4301 0.0821 0.5953
0.4301 0.4179 0.0953
0.4643 0.1795 0.9962
0.4643 0.3205 0.4962
0.5357 0.6795 0.5038
0.5357 0.8205 0.0038
0.5699 0.5821 0.9047
0.5699 0.9179 0.4047
0.5932 0.6580 0.2040
0.5932 0.8420 0.7040
0.6226 0.0058 0.1412
0.6226 0.4942 0.6412
0.8774 0.5058 0.1412
0.8774 0.9942 0.6412
0.9068 0.1580 0.2040
0.9068 0.3420 0.7040
0.9301 0.0821 0.9047
0.9301 0.4179 0.4047
0.9643 0.1795 0.5038
0.9643 0.3205 0.0038
```

Results
ΔE_f (raw) = -0.983 eV per atom
Density = 5.9 Mg/m³